(1)
VASP calculation (meta-GGA SCAN) on a crystal of CaBe2Cl relaxed with PBEsol. Values from VASP.

**DFT total energy**: -6.59 eV per atom
**Volume**: 75 Å³/cell
**Energy above the most stable polymorph in this dataset**: 0 meV per atom
**E_form (uncorrected)**: -0.02 kcal/mol of atoms
**Space group**: Pmmm, No. 47

```
&SYSTEM
  ibrav = 0, nat = 4, ntyp = 3
/
ATOMIC_SPECIES
Ca 40.08 Ca.upf
Be 9.01 Be.upf
Cl 35.45 Cl.upf
ATOMIC_POSITIONS crystal
Ca 0.000 0.000 0.000
Be 0.000 0.500 0.500
Be 0.500 0.000 0.500
Cl 0.500 0.500 0.000
CELL_PARAMETERS angstrom
3.103 0.000 0.000
0.000 4.095 0.000
0.000 0.000 5.931
```

(2)
VASP calculation (meta-GGA SCAN) on a crystal of CaBe2Cl relaxed with PBEsol. Values from VASP.

**DFT total energy**: -5.77 eV per atom
**Volume**: 79 Å³/cell
**Energy above the most stable polymorph in this dataset**: 820 meV per atom
**E_form (uncorrected)**: 18.89 kcal/mol of atoms
**Space group**: Fm-3m, No. 225

```
&SYSTEM
  ibrav = 0, nat = 4, ntyp = 3
/
ATOMIC_SPECIES
Ca 40.08 Ca.upf
Be 9.01 Be.upf
Cl 35.45 Cl.upf
ATOMIC_POSITIONS crystal
Ca 0.000 0.000 0.000
Be 0.250 0.250 0.250
Be 0.750 0.750 0.750
Cl 0.500 0.500 0.500
CELL_PARAMETERS angstrom
0.000 3.412 3.412
3.412 0.000 3.412
3.412 3.412 0.000
```

(3)
VASP calculation (meta-GGA SCAN) on a crystal of Ca2BeCl relaxed with PBEsol. Values from VASP.

**DFT total energy**: -8.62 eV per atom
**Volume**: 100 Å³/cell
**Energy above the most stable polymorph in this dataset**: 0 meV per atom
**E_form (uncorrected)**: -16.23 kcal/mol of atoms
**Space group**: P2/m, No. 10

```
&SYSTEM
  ibrav = 0, nat = 4, ntyp = 3
/
ATOMIC_SPECIES
Ca 40.08 Ca.upf
Be 9.01 Be.upf
Cl 35.45 Cl.upf
ATOMIC_POSITIONS crystal
Ca 0.000 0.000 0.219
Ca 0.000 0.000 0.781
Be 0.500 0.500 0.000
Cl 0.000 0.500 0.500
CELL_PARAMETERS angstrom
3.677 0.000 0.000
0.000 3.454 0.000
-0.008 0.000 7.881
```

(4)
VASP calculation (meta-GGA SCAN) on a crystal of Ca2BeCl relaxed with PBEsol. Values from VASP.

**DFT total energy**: -8.39 eV per atom
**Volume**: 216 Å³/cell
**Energy above the most stable polymorph in this dataset**: 232 meV per atom
**E_form (uncorrected)**: -10.87 kcal/mol of atoms
**Space group**: I-42d, No. 122

```
&SYSTEM
  ibrav = 0, nat = 8, ntyp = 3
/
ATOMIC_SPECIES
Ca 40.08 Ca.upf
Be 9.01 Be.upf
Cl 35.45 Cl.upf
ATOMIC_POSITIONS crystal
Ca 0.119 0.625 0.994
Ca 0.375 0.369 0.494
Ca 0.631 0.125 0.006
Ca 0.875 0.881 0.506
Be 0.250 0.750 0.500
Be 0.500 0.500 0.000
Cl 0.000 0.000 0.000
Cl 0.750 0.250 0.500
CELL_PARAMETERS angstrom
-3.673 3.673 4.010
3.673 -3.673 4.010
3.673 3.673 -4.010
```

(5)
VASP calculation (meta-GGA SCAN) on a crystal of Ca2BeCl relaxed with PBEsol. Values from VASP.

**DFT total energy**: -8.49 eV per atom
**Volume**: 98 Å³/cell
**Energy above the most stable polymorph in this dataset**: 126 meV per atom
**E_form (uncorrected)**: -13.32 kcal/mol of atoms
**Space group**: Imm2, No. 44

```
&SYSTEM
  ibrav = 0, nat = 4, ntyp = 3
/
ATOMIC_SPECIES
Ca 40.08 Ca.upf
Be 9.01 Be.upf
Cl 35.45 Cl.upf
ATOMIC_POSITIONS crystal
Ca 0.000 0.000 0.000
Ca 0.767 0.267 0.500
Be 0.410 0.410 0.000
Cl 0.165 0.665 0.500
CELL_PARAMETERS angstrom
-1.738 1.834 7.716
1.738 -1.834 7.716
1.738 1.834 -7.716
```

(6)
VASP calculation (meta-GGA SCAN) on a crystal of CaBe2Cl relaxed with PBEsol. Values from VASP.

**DFT total energy**: -6.55 eV per atom
**Volume**: 88 Å³/cell
**Energy above the most stable polymorph in this dataset**: 39 meV per atom
**E_form (uncorrected)**: 0.89 kcal/mol of atoms
**Space group**: Imm2, No. 44

```
&SYSTEM
  ibrav = 0, nat = 4, ntyp = 3
/
ATOMIC_SPECIES
Ca 40.08 Ca.upf
Be 9.01 Be.upf
Cl 35.45 Cl.upf
ATOMIC_POSITIONS crystal
Ca 0.000 0.000 0.000
Be 0.658 0.658 0.000
Be 0.710 0.210 0.500
Cl 0.219 0.719 0.500
CELL_PARAMETERS angstrom
-2.036 2.585 4.169
2.036 -2.585 4.169
2.036 2.585 -4.169
```

(7)
VASP calculation (meta-GGA SCAN) on a crystal of CaBe2ClO relaxed with PBEsol. Values from VASP.

**DFT total energy**: -7.47 eV per atom
**Volume**: 80 Å³/cell
**E_form (uncorrected)**: -22.06 kcal/mol of atoms
**Space group**: P4/mmm, No. 123

```
&SYSTEM
  ibrav = 0, nat = 5, ntyp = 4
/
ATOMIC_SPECIES
Ca 40.08 Ca.upf
Be 9.01 Be.upf
Cl 35.45 Cl.upf
O 16.00 O.upf
ATOMIC_POSITIONS crystal
Ca 0.000 0.000 0.000
Be 0.000 0.500 0.500
Be 0.500 0.000 0.500
Cl 0.500 0.500 0.000
O 0.500 0.500 0.500
CELL_PARAMETERS angstrom
3.519 0.000 0.000
0.000 3.519 0.000
0.000 0.000 6.457
```

(8)
VASP calculation (meta-GGA SCAN) on a crystal of Ca2BeReCl relaxed with PBEsol. Values from VASP.

**DFT total energy**: -19.91 eV per atom
**Volume**: 105 Å³/cell
**E_form (uncorrected)**: 14.82 kcal/mol of atoms
**Space group**: P4/mmm, No. 123

```
&SYSTEM
  ibrav = 0, nat = 5, ntyp = 4
/
ATOMIC_SPECIES
Ca 40.08 Ca.upf
Be 9.01 Be.upf
Re 186.21 Re.upf
Cl 35.45 Cl.upf
ATOMIC_POSITIONS crystal
Ca 0.000 0.500 0.000
Ca 0.500 0.000 0.000
Be 0.000 0.000 0.500
Re 0.500 0.500 0.500
Cl 0.000 0.000 0.000
CELL_PARAMETERS angstrom
5.119 0.000 0.000
0.000 5.119 0.000
0.000 0.000 3.997
```

(9)
VASP calculation (meta-GGA SCAN) on a crystal of CaBeS2Cl relaxed with PBEsol. Values from VASP.

**DFT total energy**: -9.42 eV per atom
**Volume**: 90 Å³/cell
**E_form (uncorrected)**: -26.89 kcal/mol of atoms
**Space group**: P4/mmm, No. 123

```
&SYSTEM
  ibrav = 0, nat = 5, ntyp = 4
/
ATOMIC_SPECIES
Ca 40.08 Ca.upf
Be 9.01 Be.upf
S 32.06 S.upf
Cl 35.45 Cl.upf
ATOMIC_POSITIONS crystal
Ca 0.000 0.000 0.000
Be 0.500 0.500 0.500
S 0.000 0.500 0.500
S 0.500 0.000 0.500
Cl 0.500 0.500 0.000
CELL_PARAMETERS angstrom
4.279 0.000 0.000
0.000 4.279 0.000
0.000 0.000 4.903
```

(10)
VASP calculation (meta-GGA SCAN) on a crystal of CaBeSeCl2 relaxed with PBEsol. Values from VASP.

**DFT total energy**: -11.19 eV per atom
**Volume**: 201 Å³/cell
**E_form (uncorrected)**: -27.18 kcal/mol of atoms
**Space group**: P4/mmm, No. 123

```
&SYSTEM
  ibrav = 0, nat = 5, ntyp = 4
/
ATOMIC_SPECIES
Ca 40.08 Ca.upf
Be 9.01 Be.upf
Se 78.96 Se.upf
Cl 35.45 Cl.upf
ATOMIC_POSITIONS crystal
Ca 0.000 0.000 0.000
Be 0.000 0.000 0.500
Se 0.500 0.500 0.000
Cl 0.000 0.500 0.500
Cl 0.500 0.000 0.500
CELL_PARAMETERS angstrom
4.147 0.000 0.000
0.000 4.147 0.000
0.000 0.000 11.712
```

(11)
VASP calculation (meta-GGA SCAN) on a crystal of CaBe3Co relaxed with PBEsol. Values from VASP.

**DFT total energy**: -7.91 eV per atom
**Calculated formation energy**: 96 meV per atom
**Volume**: 68 Å³/cell
**Space group**: Pm-3m, No. 221

```
&SYSTEM
  ibrav = 0, nat = 5, ntyp = 3
/
ATOMIC_SPECIES
Ca 40.08 Ca.upf
Be 9.01 Be.upf
Co 58.93 Co.upf
ATOMIC_POSITIONS crystal
Ca 0.000 0.000 0.000
Be 0.000 0.500 0.500
Be 0.500 0.000 0.500
Be 0.500 0.500 0.000
Co 0.500 0.500 0.500
CELL_PARAMETERS angstrom
4.089 0.000 0.000
0.000 4.089 0.000
0.000 0.000 4.089
```

(12)
VASP calculation (meta-GGA SCAN) on a crystal of CaBeCo2 relaxed with PBEsol. Values from VASP.

**DFT total energy**: -11.57 eV per atom
**Calculated formation energy**: 585 meV per atom
**Volume**: 52 Å³/cell
**Space group**: P4/mmm, No. 123

```
&SYSTEM
  ibrav = 0, nat = 4, ntyp = 3
/
ATOMIC_SPECIES
Ca 40.08 Ca.upf
Be 9.01 Be.upf
Co 58.93 Co.upf
ATOMIC_POSITIONS crystal
Ca 0.000 0.000 0.000
Be 0.500 0.500 0.000
Co 0.000 0.500 0.500
Co 0.500 0.000 0.500
CELL_PARAMETERS angstrom
3.819 0.000 0.000
0.000 3.819 0.000
0.000 0.000 3.579
```